No. 1
Below is a relaxed structure of Nd2DyTmTl2, with properties calculated at the PBE level.

Structure (POSCAR):
```
Nd2DyTmTl2
1.0
5.1309 0.0000 0.0000
0.0000 6.8869 0.0000
0.0000 0.0000 10.1814
Nd Dy Tm Tl
4 2 2 4
Direct
0.5000 0.0586 0.0440 Nd
0.0000 0.3300 0.1875 Nd
0.5000 0.5586 0.9560 Nd
0.0000 0.8300 0.8125 Nd
0.0000 0.9609 0.4582 Dy
0.0000 0.4609 0.5418 Dy
0.5000 0.1775 0.6848 Tm
0.5000 0.6775 0.3152 Tm
0.0000 0.2994 0.8538 Tl
0.5000 0.2192 0.3774 Tl
0.0000 0.7994 0.1462 Tl
0.5000 0.7192 0.6226 Tl
```

E = -4.156 eV/atom
ΔH_f (0 K) = -0.27 eV per atom
SG = No. 26
volume = 29.981 Å³/atom

---

No. 2
Below is a relaxed structure of Nd6Dy3Tm2Tl, with properties calculated at the PBE level.

Structure (POSCAR):
```
Nd6Dy3Tm2Tl
1.0
-0.6492 -3.9464 -4.7670
-2.4510 -1.3734 5.5522
-8.8035 7.0994 -3.3073
Nd Dy Tm Tl
6 3 2 1
Direct
0.9183 0.5895 0.7531 Nd
0.7534 0.7534 0.2487 Nd
0.0817 0.4105 0.2469 Nd
0.5895 0.9183 0.7531 Nd
0.2466 0.2466 0.7513 Nd
0.4105 0.0817 0.2469 Nd
0.1678 0.8322 0.5000 Dy
0.8322 0.1678 0.5000 Dy
0.5000 0.5000 0.5000 Dy
0.3340 0.6660 0.0000 Tm
0.6660 0.3340 0.0000 Tm
0.0000 0.0000 0.0000 Tl
```

E = -4.480 eV/atom
ΔH_f (0 K) = 0.00 eV per atom
SG = No. 12
volume = 32.343 Å³/atom

---

No. 3
Below is a relaxed structure of NdDy2TmTl4, with properties calculated at the PBE level.

Structure (POSCAR):
```
NdDy2TmTl4
1.0
5.3908 0.0000 0.0000
2.6954 4.6685 0.0000
2.6954 1.5562 8.8448
Nd Dy Tm Tl
1 2 1 4
Direct
0.0000 0.0000 0.0000 Nd
0.7509 0.7509 0.7472 Dy
0.2491 0.2491 0.2528 Dy
0.5000 0.5000 0.5000 Tm
0.3770 0.3770 0.8689 Tl
0.8732 0.8732 0.3803 Tl
0.1268 0.1268 0.6197 Tl
0.6230 0.6230 0.1311 Tl
```

E = -3.825 eV/atom
ΔH_f (0 K) = -0.34 eV per atom
SG = No. 166
volume = 27.825 Å³/atom

---

- What is the ΔH_f (0 K) in the first record?
  -0.27 eV per atom

---

Copy entry 3 word for word.
Below is a relaxed structure of NdDy2TmTl4, with properties calculated at the PBE level.

Structure (POSCAR):
```
NdDy2TmTl4
1.0
5.3908 0.0000 0.0000
2.6954 4.6685 0.0000
2.6954 1.5562 8.8448
Nd Dy Tm Tl
1 2 1 4
Direct
0.0000 0.0000 0.0000 Nd
0.7509 0.7509 0.7472 Dy
0.2491 0.2491 0.2528 Dy
0.5000 0.5000 0.5000 Tm
0.3770 0.3770 0.8689 Tl
0.8732 0.8732 0.3803 Tl
0.1268 0.1268 0.6197 Tl
0.6230 0.6230 0.1311 Tl
```

E = -3.825 eV/atom
ΔH_f (0 K) = -0.34 eV per atom
SG = No. 166
volume = 27.825 Å³/atom

---

Copy entry 3 word for word.
Below is a relaxed structure of NdDy2TmTl4, with properties calculated at the PBE level.

Structure (POSCAR):
```
NdDy2TmTl4
1.0
5.3908 0.0000 0.0000
2.6954 4.6685 0.0000
2.6954 1.5562 8.8448
Nd Dy Tm Tl
1 2 1 4
Direct
0.0000 0.0000 0.0000 Nd
0.7509 0.7509 0.7472 Dy
0.2491 0.2491 0.2528 Dy
0.5000 0.5000 0.5000 Tm
0.3770 0.3770 0.8689 Tl
0.8732 0.8732 0.3803 Tl
0.1268 0.1268 0.6197 Tl
0.6230 0.6230 0.1311 Tl
```

E = -3.825 eV/atom
ΔH_f (0 K) = -0.34 eV per atom
SG = No. 166
volume = 27.825 Å³/atom

---

- Which value of E does entry 1 give?
  -4.156 eV/atom